BaBeSe2 after structural relaxation, computed with PBE.

- E_tot (eV for the cell shown) = -13.94
- formation energy (no corrections) (eV/atom) = -0.332
- crystal system = tetragonal
- DOS(E_F) (states/eV/atom) = 0.465

Structure (POSCAR):
```
BaBeSe2
1.0
5.1410 0.0555 0.0050
-0.0519 5.1411 0.0050
-0.0025 -0.0026 3.8588
Be Ba Se
1 1 2
Direct
0.0000 0.5000 0.5000
0.5000 0.0000 0.5000
0.0000 0.0000 0.0000
0.5000 0.5000 0.0000
```